DFT (GGA+U) results for a relaxed structure of CrAgNO2.

Geometry as CIF:
```
data_CrAgNO2
_cell_length_a 3.833
_cell_length_b 3.833
_cell_length_c 3.778
_cell_angle_alpha 90.00
_cell_angle_beta 90.00
_cell_angle_gamma 90.00
_space_group_name_H-M_alt 'P 1'
_space_group_IT_number 1
_space_group_name_Hall 'P 1'
loop_
_atom_site_label
_atom_site_fract_x
_atom_site_fract_y
_atom_site_fract_z
Cr1 0.000 0.000 0.000
Ag1 0.500 0.500 0.500
N1 0.000 0.000 0.500
O1 0.000 0.500 0.000
O2 0.500 0.000 0.000
```

Magnetic moment (μB per formula unit): 1.95
Density (g cm⁻³): 6.16
D(E_F) (states/eV/f.u.): 1.78
Raw total energy (eV per atom): -5.61
Space group: P4/mmm, No. 123